# 1
The following is a PBE-GGA calculation of ScZn6Cu2 after structural relaxation, from Alexandria.

abc: 7.540 7.540 7.540
angles: 157.30 122.45 62.67
Fractional positions:
Sc (0.000, 0.000, 0.000)
Zn (0.004, 0.324, 0.680)
Zn (0.333, 0.500, 0.833)
Zn (0.356, 0.676, 0.680)
Zn (0.644, 0.324, 0.320)
Zn (0.667, 0.500, 0.167)
Zn (0.996, 0.676, 0.320)
Cu (0.356, 0.856, 0.500)
Cu (0.644, 0.144, 0.500)

Values from the calculation:
For the energy of formation, the calculation gives -0.80 eV per formula unit. For the total DFT energy (no corrections), the calculation gives -2.552 eV/atom. The symmetry is Immm (71). The calculation puts the density of states at the Fermi level at 0.473 states/eV per atom.

=====

# 2
The following is a PBE-GGA calculation of Sn2BiPd2 after structural relaxation, from Alexandria.

abc: 8.049 8.049 3.356
angles: 90.00 90.00 90.00
Fractional positions:
Sn (0.156, 0.344, 0.000)
Sn (0.344, 0.844, 0.000)
Sn (0.656, 0.156, 0.000)
Sn (0.844, 0.656, 0.000)
Bi (0.000, 0.000, 0.500)
Bi (0.500, 0.500, 0.500)
Pd (0.134, 0.634, 0.500)
Pd (0.366, 0.134, 0.500)
Pd (0.634, 0.866, 0.500)
Pd (0.866, 0.366, 0.500)

Values from the calculation:
For the energy of formation, the calculation gives -1.38 eV per formula unit. For the total DFT energy (no corrections), the calculation gives -4.731 eV/atom. The symmetry is P4/mbm (127). The calculation puts the density of states at the Fermi level at 0.631 states/eV per atom.

=====

# 3
The following is a PBE-GGA calculation of SbTe2BrN after structural relaxation, from Alexandria.

abc: 6.015 6.015 3.895
angles: 90.00 90.00 90.00
Fractional positions:
Sb (0.000, 0.000, 0.000)
Te (0.000, 0.500, 0.000)
Te (0.500, 0.000, 0.000)
Br (0.500, 0.500, 0.500)
N (0.000, 0.000, 0.500)

Values from the calculation:
For the total DFT energy (no corrections), the calculation gives -3.185 eV/atom. The calculation puts the uncorrected formation energy at 0.896 eV per atom. The symmetry is P4/mmm (123). The calculation puts the density of states at the Fermi level at 1.446 states/eV per atom.

=====

# 4
The following is a PBE-GGA calculation of La5Y after structural relaxation, from Alexandria.

abc: 6.514 6.514 5.981
angles: 90.00 90.00 120.00
Fractional positions:
La (0.000, 0.671, 0.000)
La (0.329, 0.329, 0.000)
La (0.333, 0.667, 0.500)
La (0.667, 0.333, 0.500)
La (0.671, 0.000, 0.000)
Y (0.000, 0.000, 0.500)

Values from the calculation:
For the energy of formation, the calculation gives 0.20 eV per formula unit. For the total DFT energy (no corrections), the calculation gives -5.151 eV/atom. The symmetry is P-62m (189). The calculation puts the density of states at the Fermi level at 1.766 states/eV per atom.

=====

# 5
The following is a PBE-GGA calculation of CuH2I after structural relaxation, from Alexandria.

abc: 4.261 4.265 5.401
angles: 91.03 91.38 119.91
Fractional positions:
Cu (0.000, 0.000, 0.000)
H (0.021, 0.100, 0.682)
H (0.949, 0.888, 0.677)
I (0.679, 0.347, 0.158)

Values from the calculation:
For the total DFT energy (no corrections), the calculation gives -3.138 eV/atom. The symmetry is P1 (1). The calculation puts the density of states at the Fermi level at 0.000 states/eV per atom.

=====

# 6
The following is a PBE-GGA calculation of Mg2Tc2Pt after structural relaxation, from Alexandria.

abc: 5.129 5.129 5.129
angles: 121.16 121.16 88.00
Fractional positions:
Mg (0.250, 0.750, 0.500)
Mg (0.750, 0.250, 0.500)
Tc (0.147, 0.147, 0.000)
Tc (0.853, 0.853, 0.000)
Pt (0.500, 0.500, 0.000)

Values from the calculation:
For the energy of formation, the calculation gives 3.59 eV per formula unit. For the total DFT energy (no corrections), the calculation gives -5.274 eV/atom. The symmetry is I4/mmm (139). The calculation puts the density of states at the Fermi level at 0.851 states/eV per atom.

=====

# 7
The following is a PBE-GGA calculation of ScMn2Be after structural relaxation, from Alexandria.

abc: 8.730 8.730 8.730
angles: 155.70 155.70 34.64
Fractional positions:
Sc (0.000, 0.000, 0.000)
Sc (0.750, 0.250, 0.500)
Mn (0.226, 0.125, 0.601)
Mn (0.375, 0.774, 0.899)
Mn (0.524, 0.625, 0.399)
Mn (0.875, 0.476, 0.101)
Be (0.250, 0.750, 0.500)
Be (0.500, 0.500, 0.000)

Values from the calculation:
For the energy of formation, the calculation gives 1.69 eV per formula unit. For the total DFT energy (no corrections), the calculation gives -6.677 eV/atom. The symmetry is I-42d (122). The calculation puts the density of states at the Fermi level at 0.897 states/eV per atom.

=====

# 8
The following is a PBE-GGA calculation of NpAgSe2O8 after structural relaxation, from Alexandria.

abc: 6.296 6.296 6.371
angles: 90.00 90.00 120.00
Fractional positions:
Np (0.000, 0.000, 0.000)
Ag (0.000, 0.000, 0.500)
Se (0.333, 0.667, 0.237)
Se (0.667, 0.333, 0.763)
O (0.143, 0.298, 0.193)
O (0.155, 0.857, 0.193)
O (0.298, 0.155, 0.807)
O (0.333, 0.667, 0.492)
O (0.667, 0.333, 0.508)
O (0.702, 0.845, 0.193)
O (0.845, 0.143, 0.807)
O (0.857, 0.702, 0.807)

Values from the calculation:
For the total DFT energy (no corrections), the calculation gives -6.326 eV/atom. The calculation puts the uncorrected formation energy at -1.124 eV per atom. The symmetry is P-3 (147). The calculation puts the density of states at the Fermi level at 0.109 states/eV per atom.

=====

# 9
The following is a PBE-GGA calculation of Ac2AlGa3 after structural relaxation, from Alexandria.

abc: 9.001 8.863 6.450
angles: 69.98 67.70 42.32
Fractional positions:
Ac (0.247, 0.753, 0.247)
Ac (0.250, 0.250, 0.250)
Ac (0.750, 0.750, 0.750)
Ac (0.753, 0.247, 0.753)
Al (0.334, 0.334, 0.666)
Al (0.666, 0.666, 0.334)
Ga (0.167, 0.167, 0.833)
Ga (0.167, 0.667, 0.833)
Ga (0.333, 0.833, 0.667)
Ga (0.667, 0.167, 0.333)
Ga (0.833, 0.333, 0.167)
Ga (0.833, 0.833, 0.167)

Values from the calculation:
For the energy of formation, the calculation gives -3.55 eV per formula unit. For the total DFT energy (no corrections), the calculation gives -4.099 eV/atom. The symmetry is Fmmm (69). The calculation puts the density of states at the Fermi level at 0.672 states/eV per atom.

=====

# 10
The following is a PBE-GGA calculation of Zr4TiSn after structural relaxation, from Alexandria.

abc: 7.554 7.554 5.715
angles: 101.63 101.63 116.55
Fractional positions:
Zr (0.093, 0.713, 0.938)
Zr (0.207, 0.389, 0.644)
Zr (0.287, 0.907, 0.562)
Zr (0.389, 0.207, 0.144)
Zr (0.611, 0.793, 0.856)
Zr (0.713, 0.093, 0.438)
Zr (0.793, 0.611, 0.356)
Zr (0.907, 0.287, 0.062)
Ti (0.002, 0.998, 0.250)
Ti (0.998, 0.002, 0.750)
Sn (0.386, 0.614, 0.250)
Sn (0.614, 0.386, 0.750)

Values from the calculation:
For the energy of formation, the calculation gives -0.77 eV per formula unit. For the total DFT energy (no corrections), the calculation gives -7.810 eV/atom. The symmetry is C2/c (15). The calculation puts the density of states at the Fermi level at 1.139 states/eV per atom.

=====

# 11
The following is a PBE-GGA calculation of LiTlAu2 after structural relaxation, from Alexandria.

abc: 10.418 10.418 10.418
angles: 157.52 157.52 32.00
Fractional positions:
Li (0.000, 0.000, 0.000)
Li (0.750, 0.250, 0.500)
Tl (0.250, 0.750, 0.500)
Tl (0.500, 0.500, 0.000)
Au (0.114, 0.625, 0.989)
Au (0.375, 0.364, 0.489)
Au (0.636, 0.125, 0.011)
Au (0.875, 0.886, 0.511)

Values from the calculation:
For the energy of formation, the calculation gives -0.37 eV per formula unit. For the total DFT energy (no corrections), the calculation gives -2.801 eV/atom. The symmetry is I-42d (122). The calculation puts the density of states at the Fermi level at 0.421 states/eV per atom.

=====

# 12
The following is a PBE-GGA calculation of SrAlPd3 after structural relaxation, from Alexandria.

abc: 6.137 6.137 6.198
angles: 90.00 90.00 120.00
Fractional positions:
Sr (0.333, 0.667, 0.250)
Sr (0.667, 0.333, 0.750)
Al (0.000, 0.000, 0.000)
Al (0.000, 0.000, 0.500)
Pd (0.182, 0.364, 0.750)
Pd (0.182, 0.818, 0.750)
Pd (0.364, 0.182, 0.250)
Pd (0.636, 0.818, 0.750)
Pd (0.818, 0.182, 0.250)
Pd (0.818, 0.636, 0.250)

Values from the calculation:
For the energy of formation, the calculation gives -3.24 eV per formula unit. For the total DFT energy (no corrections), the calculation gives -4.849 eV/atom. The symmetry is P6_3/mmc (194). The calculation puts the density of states at the Fermi level at 0.302 states/eV per atom.